Here is a relaxed structure of Sr3Tl4Ag2 from the Alexandria database. Energies are from PBE.

Properties
The total moment comes out at 0.0 μB per formula unit. As for the formation energy from the elements: -0.33 eV/atom. The calculated density comes out at 7.9 g/cm3.

The structure in CIF format:
```
data_Sr3Tl4Ag2
_chemical_formula_sum 'Sr6 Tl8 Ag4'
_symmetry_space_group_name_H-M 'C 1 2/m 1'
_symmetry_Int_Tables_number 12
_cell_length_a 11.929
_cell_length_b 5.077
_cell_length_c 9.816
_cell_angle_alpha 90.00
_cell_angle_beta 113.93
_cell_angle_gamma 90.00
loop_
_symmetry_equiv_pos_as_xyz
'x,y,z'
'-x,-y,-z'
'-x,y,-z'
'x,-y,z'
'x+1/2,y+1/2,z'
'-x+1/2,-y+1/2,-z'
'-x+1/2,y+1/2,-z'
'x+1/2,-y+1/2,z'
loop_
_atom_site_label
_atom_site_type_symbol
_atom_site_fract_x
_atom_site_fract_y
_atom_site_fract_z
Sr1 Sr 0.000 0.000 0.000
Sr2 Sr 0.178 0.500 0.647
Tl1 Tl 0.028 0.000 0.361
Tl2 Tl 0.233 0.500 0.079
Ag1 Ag 0.094 0.500 0.267
```